Density functional theory data (PBE-GGA) for ScFe2Hg after structural relaxation.

Symmetry: P4mm
DOS at the Fermi energy: 3.3 states/eV per cell
Mass density: 9.0 g cm⁻³
Formation energy from the elements: -2 kJ/mol of formula units
Crystal system: tetragonal

Unit cell a=3.1439 b=3.1439 c=6.6941 alpha=90.00 beta=90.00 gamma=90.00
Last column: nearest neighbours and their distance in Å.
Sites, in units of the cell vectors:
1 Fe 0.0000 0.0000 0.0366  4 Fe 2.49, 4 Sc 2.78
2 Fe 0.5000 0.5000 0.2057  4 Fe 2.49
3 Hg 0.0000 0.0000 0.4712  5 Fe 2.85-2.91, 4 Sc 3.07, 4 Hg 3.14
4 Sc 0.5000 0.5000 0.7865  5 Fe 2.78-2.81, 4 Hg 3.07